[1]
LiFeP2 | PBE-GGA | optimized geometry

Lattice parameters (Å, degrees): 4.1995 2.9712 8.0615 90.00 90.00 90.00
Fractional coordinates of all 8 atoms:
Li  0.0000  0.0000  0.0000
Li  0.0000  0.5000  0.5000
Fe  0.5000  0.0000  0.3860
Fe  0.5000  0.5000  0.8860
P  0.0000  0.0000  0.2757
P  0.0000  0.5000  0.7757
P  0.5000  0.0000  0.6733
P  0.5000  0.5000  0.1733

raw total energy: -5.4261 eV/atom
symmetry: Amm2
DFT formation energy: -0.13 eV per atom
ΔE to the lowest computed polymorph: 232 meV per atom
magnetization: 0.00 μB per atom

***

[2]
LiFeP2 | PBE-GGA | optimized geometry

Lattice parameters (Å, degrees): 3.8175 3.8175 3.3305 90.00 90.00 90.00
Fractional coordinates of all 4 atoms:
Li  0.0000  0.0000  0.0000
Fe  0.5000  0.5000  0.0000
P  0.0000  0.5000  0.5000
P  0.5000  0.0000  0.5000

raw total energy: -5.3219 eV/atom
symmetry: P4/mmm
DFT formation energy: -0.02 eV per atom
ΔE to the lowest computed polymorph: 336 meV per atom
magnetization: 0.44 μB per atom

***

[3]
LiFeP2 | PBE-GGA | optimized geometry

Lattice parameters (Å, degrees): 2.9016 2.9016 6.2378 90.00 90.00 90.00
Fractional coordinates of all 4 atoms:
Li  0.0000  0.0000  0.0000
Fe  0.5000  0.5000  0.7720
P  0.0000  0.0000  0.6114
P  0.5000  0.5000  0.1815

raw total energy: -5.2648 eV/atom
symmetry: P4mm
DFT formation energy: 0.03 eV per atom
ΔE to the lowest computed polymorph: 393 meV per atom
magnetization: 0.00 μB per atom

***

[4]
Li2FeP | PBE-GGA | optimized geometry

Lattice parameters (Å, degrees): 3.4551 3.4551 17.9636 90.00 90.00 90.00
Fractional coordinates of all 16 atoms:
Li  0.2351  0.2500  0.1250
Li  0.2500  0.7351  0.3750
Li  0.2500  0.7649  0.8750
Li  0.2649  0.2500  0.6250
Li  0.7351  0.7500  0.6250
Li  0.7500  0.2351  0.8750
Li  0.7500  0.2649  0.3750
Li  0.7649  0.7500  0.1250
Fe  0.0000  0.0000  0.5000
Fe  0.0000  0.5000  0.7500
Fe  0.5000  0.0000  0.2500
Fe  0.5000  0.5000  0.0000
P  0.0000  0.0000  0.0000
P  0.0000  0.5000  0.2500
P  0.5000  0.0000  0.7500
P  0.5000  0.5000  0.5000

raw total energy: -4.4331 eV/atom
symmetry: I-42d
DFT formation energy: -0.01 eV per atom
magnetization: 0.62 μB per atom

***

> DFT formation energy of number 2 (LiFeP2)?

-0.02 eV per atom

***

> raw total energy of number 2 (LiFeP2)?

-5.3219 eV/atom